Record 1
Entry from Alexandria: an optimized crystal structure of Pm3Y3TmS8 (PBE-GGA).

Density of states at the Fermi level: 0.452 states/eV/atom
Total DFT energy (no corrections): -102.02 eV/cell
Formation energy (no corrections): -2059 meV per atom
Symmetry: R-3m
Spin magnetization: 0.000 μB/atom

Lattice parameters (Å, degrees): 7.8939 7.8940 7.9501 119.77 90.00 120.00
With the nearest neighbours (Å) after each atom.
Element x y z (fractional)
S (0.2512, 0.0068, 0.2623)  1 Tm 2.74, 2 Y 2.76, 2 Pm 2.84
S (0.7555, 0.0068, 0.2623)  1 Tm 2.74, 2 Y 2.76, 2 Pm 2.84
S (0.7465, 0.4930, 0.7395)  3 Y 2.76, 3 Pm 2.84
S (0.7555, 0.5111, 0.2623)  1 Tm 2.74, 2 Y 2.76, 2 Pm 2.84
S (0.2445, 0.4889, 0.7377)  1 Tm 2.74, 2 Y 2.76, 2 Pm 2.84
S (0.2445, 0.9932, 0.7377)  1 Tm 2.74, 2 Y 2.76, 2 Pm 2.84
S (0.7488, 0.9932, 0.7377)  1 Tm 2.74, 2 Y 2.76, 2 Pm 2.84
S (0.2535, 0.5070, 0.2605)  3 Y 2.76, 3 Pm 2.84
Pm (0.0000, 0.5000, 0.0000)  6 S 2.84
Pm (0.0000, 0.0000, 0.0000)  6 S 2.84
Pm (0.5000, 0.5000, 0.0000)  6 S 2.84
Y (0.5000, 0.5000, 0.5000)  6 S 2.76
Y (0.5000, 0.0000, 0.5000)  6 S 2.76
Y (0.0000, 0.5000, 0.5000)  6 S 2.76
Tm (0.0000, 0.0000, 0.5000)  6 S 2.74

Record 2
Entry from Alexandria: an optimized crystal structure of LaNd4Tm3 (PBE-GGA).

Density of states at the Fermi level: 1.826 states/eV/atom
Total DFT energy (no corrections): -36.33 eV/cell
Symmetry: Immm
Formation enthalpy at 0 K: 0.14 eV/atom
Spin magnetization: 0.000 μB/atom

Lattice parameters (Å, degrees): 3.4925 11.7693 8.9688 130.99 101.24 90.01
With the nearest neighbours (Å) after each atom.
Element x y z (fractional)
Nd (0.6336, 0.8830, 0.2671)  3 Tm 3.36-3.70, 1 La 3.43, 5 Nd 3.49-3.51
Nd (0.3664, 0.1170, 0.7329)  3 Tm 3.36-3.70, 1 La 3.43, 5 Nd 3.49-3.51
Nd (0.6333, 0.3840, 0.2671)  3 Tm 3.36-3.70, 1 La 3.43, 5 Nd 3.49-3.51
Nd (0.3667, 0.6160, 0.7329)  3 Tm 3.36-3.70, 1 La 3.43, 5 Nd 3.49-3.51
Tm (0.0000, 0.5000, 0.0000)  6 Tm 3.49-3.81, 8 Nd 3.84
Tm (0.2410, 0.2410, 0.4819)  6 Nd 3.36-3.70, 2 Tm 3.49, 2 La 3.60
Tm (0.7590, 0.7590, 0.5181)  6 Nd 3.36-3.70, 2 Tm 3.49, 2 La 3.60
La (0.5000, 0.0000, 0.0000)  4 Nd 3.43, 2 La 3.49, 4 Tm 3.60

Record 3
Entry from Alexandria: an optimized crystal structure of PdAuF2 (PBE-GGA).

Density of states at the Fermi level: 0.238 states/eV/atom
Total DFT energy (no corrections): -27.31 eV/cell
Formation energy (no corrections): -361 meV per atom
Symmetry: I-42d
Spin magnetization: 0.268 μB/atom

Lattice parameters (Å, degrees): 6.5617 6.5617 5.4120 52.68 52.68 90.00
With the nearest neighbours (Å) after each atom.
Element x y z (fractional)
F (0.3750, 0.4189, 0.7500)  2 Pd 2.24
F (0.8750, 0.8311, 0.7500)  2 Pd 2.24
F (0.1689, 0.6250, 0.2500)  2 Pd 2.24
F (0.5811, 0.1250, 0.2500)  2 Pd 2.24
Pd (0.2500, 0.7500, 0.5000)  4 F 2.24
Pd (0.5000, 0.5000, 0.0000)  4 F 2.24
Au (0.0000, 0.0000, 0.0000)  4 F 2.63, 2 Pd 2.79
Au (0.7500, 0.2500, 0.5000)  4 F 2.63, 2 Pd 2.79

Record 4
Entry from Alexandria: an optimized crystal structure of LaCeSnHg (PBE-GGA).

Density of states at the Fermi level: 2.684 states/eV/atom
Total DFT energy (no corrections): -17.29 eV/cell
Symmetry: F-43m
Formation enthalpy at 0 K: -0.53 eV/atom
Spin magnetization: 0.302 μB/atom

Lattice parameters (Å, degrees): 5.5059 5.5059 5.5059 60.00 60.00 60.00
With the nearest neighbours (Å) after each atom.
Element x y z (fractional)
Sn (0.5000, 0.5000, 0.5000)  4 La 3.37, 4 Ce 3.37
Ce (0.7500, 0.7500, 0.7500)  4 Sn 3.37, 4 Hg 3.37
Hg (0.0000, 0.0000, 0.0000)  4 La 3.37, 4 Ce 3.37
La (0.2500, 0.2500, 0.2500)  4 Hg 3.37, 4 Sn 3.37

> Among the records above, which one has the highest total DFT energy (no corrections)?

LaCeSnHg